[1]
VASP calculation (GGA-PBE) on a relaxed FeTcAsBr2 crystal.

Unit cell a=5.1908 b=5.1908 c=4.7222 alpha=90.00 beta=90.00 gamma=90.00
Closest atoms and distances in Å follow each position.
Space group P4/mmm (No. 123)
One atom of each set of equivalent atoms:
Fe1 0.0000 0.0000 0.0000 [1 per cell]  8 Br 3.51, 4 As 3.67
Tc1 0.5000 0.5000 0.5000 [1 per cell]  2 As 2.36, 4 Br 2.60
As1 0.5000 0.5000 0.0000 [1 per cell]  2 Tc 2.36
Br1 0.0000 0.5000 0.5000 [2 per cell]  2 Tc 2.60

Results
E above lowest polymorph   0.0 meV/atom
Energy relative to the elements, uncorrected   0.8639 eV/atom
Fermi-level density of states   11.811 states/eV/f.u.


[2]
VASP calculation (GGA-PBE) on a relaxed FeTeAs2Br crystal.

Unit cell a=4.4417 b=4.4417 c=5.8448 alpha=90.00 beta=90.00 gamma=90.00
Closest atoms and distances in Å follow each position.
Space group P4/mmm (No. 123)
One atom of each set of equivalent atoms:
Fe1 0.0000 0.0000 0.0000 [1 per cell]  4 As 2.22
Te1 0.0000 0.0000 0.5000 [1 per cell]  2 Fe 2.92, 4 Br 3.14
As1 0.0000 0.5000 0.0000 [2 per cell]  2 Fe 2.22
Br1 0.5000 0.5000 0.5000 [1 per cell]  4 Te 3.14

Results
E above lowest polymorph   0.0 meV/atom
Energy relative to the elements, uncorrected   0.3117 eV/atom
Fermi-level density of states   3.983 states/eV/f.u.


[3]
VASP calculation (GGA-PBE) on a relaxed FeTeAs2Br crystal.

Unit cell a=4.7252 b=4.7252 c=4.8564 alpha=90.00 beta=90.00 gamma=90.00
Closest atoms and distances in Å follow each position.
Space group P4/mmm (No. 123)
One atom of each set of equivalent atoms:
Fe1 0.0000 0.0000 0.0000 [1 per cell]  4 As 2.36, 2 Br 2.43
Te1 0.5000 0.5000 0.5000 [1 per cell]  4 Br 3.34, 8 As 3.39
As1 0.0000 0.5000 0.0000 [2 per cell]  2 Fe 2.36
Br1 0.0000 0.0000 0.5000 [1 per cell]  2 Fe 2.43

Results
E above lowest polymorph   68.5 meV/atom
Energy relative to the elements, uncorrected   0.3802 eV/atom
Fermi-level density of states   4.529 states/eV/f.u.


[4]
VASP calculation (GGA-PBE) on a relaxed FeTeAsBr2 crystal.

Unit cell a=4.8070 b=4.8070 c=4.8445 alpha=90.00 beta=90.00 gamma=90.00
Closest atoms and distances in Å follow each position.
Space group P4/mmm (No. 123)
One atom of each set of equivalent atoms:
Fe1 0.0000 0.0000 0.0000 [1 per cell]  4 Br 2.40, 2 As 2.42
Te1 0.5000 0.5000 0.5000 [1 per cell]  4 As 3.40, 8 Br 3.41
As1 0.0000 0.0000 0.5000 [1 per cell]  2 Fe 2.42
Br1 0.0000 0.5000 0.0000 [2 per cell]  2 Fe 2.40

Results
E above lowest polymorph   0.0 meV/atom
Energy relative to the elements, uncorrected   0.3834 eV/atom
Fermi-level density of states   6.218 states/eV/f.u.


[5]
VASP calculation (GGA-PBE) on a relaxed TiFeAsBr2 crystal.

Unit cell a=4.9134 b=4.9134 c=4.5289 alpha=90.00 beta=90.00 gamma=90.00
Closest atoms and distances in Å follow each position.
Space group P4/mmm (No. 123)
One atom of each set of equivalent atoms:
Ti1 0.0000 0.0000 0.0000 [1 per cell]  8 Br 3.34, 4 As 3.47
Fe1 0.5000 0.5000 0.5000 [1 per cell]  2 As 2.26, 4 Br 2.46
As1 0.5000 0.5000 0.0000 [1 per cell]  2 Fe 2.26
Br1 0.0000 0.5000 0.5000 [2 per cell]  2 Fe 2.46

Results
E above lowest polymorph   270.3 meV/atom
Energy relative to the elements, uncorrected   0.5617 eV/atom
Fermi-level density of states   8.143 states/eV/f.u.


[6]
VASP calculation (GGA-PBE) on a relaxed TiFeAs2Br crystal.

Unit cell a=4.8968 b=4.8968 c=5.0674 alpha=90.00 beta=90.00 gamma=90.00
Closest atoms and distances in Å follow each position.
Space group P4/mmm (No. 123)
One atom of each set of equivalent atoms:
Ti1 0.0000 0.0000 0.0000 [1 per cell]  4 As 2.45, 2 Br 2.53
Fe1 0.5000 0.5000 0.5000 [1 per cell]  4 Br 3.46, 8 As 3.52
As1 0.0000 0.5000 0.0000 [2 per cell]  2 Ti 2.45
Br1 0.0000 0.0000 0.5000 [1 per cell]  2 Ti 2.53

Results
E above lowest polymorph   63.4 meV/atom
Energy relative to the elements, uncorrected   0.4774 eV/atom
Fermi-level density of states   7.104 states/eV/f.u.


[7]
VASP calculation (GGA-PBE) on a relaxed TiFeAs2Br crystal.

Unit cell a=4.5040 b=4.5040 c=5.2253 alpha=90.00 beta=90.00 gamma=90.00
Closest atoms and distances in Å follow each position.
Space group P4/mmm (No. 123)
One atom of each set of equivalent atoms:
Ti1 0.0000 0.0000 0.0000 [1 per cell]  4 Br 3.18, 8 As 3.45
Fe1 0.5000 0.5000 0.5000 [1 per cell]  4 As 2.25
As1 0.0000 0.5000 0.5000 [2 per cell]  2 Fe 2.25
Br1 0.5000 0.5000 0.0000 [1 per cell]  2 Fe 2.61

Results
E above lowest polymorph   0.0 meV/atom
Energy relative to the elements, uncorrected   0.4140 eV/atom
Fermi-level density of states   5.665 states/eV/f.u.


[8]
VASP calculation (GGA-PBE) on a relaxed TiFeAsBr2 crystal.

Unit cell a=4.9661 b=4.9661 c=5.1765 alpha=90.00 beta=90.00 gamma=90.00
Closest atoms and distances in Å follow each position.
Space group P4/mmm (No. 123)
One atom of each set of equivalent atoms:
Ti1 0.0000 0.0000 0.0000 [1 per cell]  4 Br 2.48, 2 As 2.59
Fe1 0.5000 0.5000 0.5000 [1 per cell]  4 As 3.51, 8 Br 3.59
As1 0.0000 0.0000 0.5000 [1 per cell]  2 Ti 2.59
Br1 0.0000 0.5000 0.0000 [2 per cell]  2 Ti 2.48

Results
E above lowest polymorph   0.0 meV/atom
Energy relative to the elements, uncorrected   0.2914 eV/atom
Fermi-level density of states   7.886 states/eV/f.u.


[9]
VASP calculation (GGA-PBE) on a relaxed VFeAs2Br crystal.

Unit cell a=4.6955 b=4.6955 c=5.2541 alpha=90.00 beta=90.00 gamma=90.00
Closest atoms and distances in Å follow each position.
Space group P4/mmm (No. 123)
One atom of each set of equivalent atoms:
V1 0.0000 0.0000 0.0000 [1 per cell]  4 As 2.35, 2 Br 2.63
Fe1 0.5000 0.5000 0.5000 [1 per cell]  4 Br 3.32, 8 As 3.52
As1 0.0000 0.5000 0.0000 [2 per cell]  2 V 2.35
Br1 0.0000 0.0000 0.5000 [1 per cell]  2 V 2.63

Results
E above lowest polymorph   49.9 meV/atom
Energy relative to the elements, uncorrected   0.6370 eV/atom
Fermi-level density of states   6.399 states/eV/f.u.


[10]
VASP calculation (GGA-PBE) on a relaxed VFeAsBr2 crystal.

Unit cell a=5.0228 b=5.0228 c=4.9721 alpha=90.00 beta=90.00 gamma=90.00
Closest atoms and distances in Å follow each position.
Space group P4/mmm (No. 123)
One atom of each set of equivalent atoms:
V1 0.0000 0.0000 0.0000 [1 per cell]  2 As 2.49, 4 Br 2.51
Fe1 0.5000 0.5000 0.5000 [1 per cell]  8 Br 3.53, 4 As 3.55
As1 0.0000 0.0000 0.5000 [1 per cell]  2 V 2.49
Br1 0.0000 0.5000 0.0000 [2 per cell]  2 V 2.51

Results
Energy relative to the elements, uncorrected   0.5486 eV/atom
Fermi-level density of states   10.681 states/eV/f.u.


[11]
VASP calculation (GGA-PBE) on a relaxed VFeAs2Br crystal.

Unit cell a=4.4692 b=4.4692 c=5.2975 alpha=90.00 beta=90.00 gamma=90.00
Closest atoms and distances in Å follow each position.
Space group P4/mmm (No. 123)
One atom of each set of equivalent atoms:
V1 0.0000 0.0000 0.0000 [1 per cell]  4 Br 3.16, 8 As 3.47
Fe1 0.5000 0.5000 0.5000 [1 per cell]  4 As 2.23
As1 0.0000 0.5000 0.5000 [2 per cell]  2 Fe 2.23
Br1 0.5000 0.5000 0.0000 [1 per cell]  2 Fe 2.65

Results
E above lowest polymorph   0.0 meV/atom
Energy relative to the elements, uncorrected   0.5871 eV/atom
Fermi-level density of states   4.807 states/eV/f.u.


[12]
VASP calculation (GGA-PBE) on a relaxed FeAs2WBr crystal.

Unit cell a=4.4807 b=4.4807 c=4.9978 alpha=90.00 beta=90.00 gamma=90.00
Closest atoms and distances in Å follow each position.
Space group P4/mmm (No. 123)
One atom of each set of equivalent atoms:
Fe1 0.0000 0.0000 0.0000 [1 per cell]  4 As 2.24, 2 Br 2.50
As1 0.0000 0.5000 0.0000 [2 per cell]  2 Fe 2.24
W1 0.5000 0.5000 0.5000 [1 per cell]  4 Br 3.17, 8 As 3.36
Br1 0.0000 0.0000 0.5000 [1 per cell]  2 Fe 2.50

Results
E above lowest polymorph   229.1 meV/atom
Energy relative to the elements, uncorrected   1.2172 eV/atom
Fermi-level density of states   3.509 states/eV/f.u.


[13]
VASP calculation (GGA-PBE) on a relaxed FeAs2WBr crystal.

Unit cell a=4.8387 b=4.8387 c=5.3863 alpha=90.00 beta=90.00 gamma=90.00
Closest atoms and distances in Å follow each position.
Space group P4/mmm (No. 123)
One atom of each set of equivalent atoms:
Fe1 0.0000 0.0000 0.0000 [1 per cell]  4 Br 3.42, 8 As 3.62
As1 0.0000 0.5000 0.5000 [2 per cell]  2 W 2.42
W1 0.5000 0.5000 0.5000 [1 per cell]  4 As 2.42, 2 Br 2.69
Br1 0.5000 0.5000 0.0000 [1 per cell]  2 W 2.69

Results
E above lowest polymorph   0.0 meV/atom
Energy relative to the elements, uncorrected   0.9881 eV/atom
Fermi-level density of states   7.292 states/eV/f.u.


[14]
VASP calculation (GGA-PBE) on a relaxed YFeAsBr2 crystal.

Unit cell a=5.4145 b=5.4145 c=5.8083 alpha=90.00 beta=90.00 gamma=90.00
Closest atoms and distances in Å follow each position.
Space group P4/mmm (No. 123)
One atom of each set of equivalent atoms:
Y1 0.0000 0.0000 0.0000 [1 per cell]  4 Br 2.71, 2 As 2.90
Fe1 0.5000 0.5000 0.5000 [1 per cell]  4 As 3.83, 8 Br 3.97
As1 0.0000 0.0000 0.5000 [1 per cell]  2 Y 2.90
Br1 0.0000 0.5000 0.0000 [2 per cell]  2 Y 2.71

Results
E above lowest polymorph   253.8 meV/atom
Energy relative to the elements, uncorrected   0.0284 eV/atom
Fermi-level density of states   10.440 states/eV/f.u.


[15]
VASP calculation (GGA-PBE) on a relaxed YFeAsBr2 crystal.

Unit cell a=4.8118 b=4.8118 c=5.1167 alpha=90.00 beta=90.00 gamma=90.00
Closest atoms and distances in Å follow each position.
Space group P4/mmm (No. 123)
One atom of each set of equivalent atoms:
Y1 0.0000 0.0000 0.0000 [1 per cell]  4 As 3.40, 8 Br 3.51
Fe1 0.5000 0.5000 0.5000 [1 per cell]  4 Br 2.41, 2 As 2.56
As1 0.5000 0.5000 0.0000 [1 per cell]  2 Fe 2.56
Br1 0.0000 0.5000 0.5000 [2 per cell]  2 Fe 2.41

Results
E above lowest polymorph   0.0 meV/atom
Energy relative to the elements, uncorrected   -0.2253 eV/atom
Fermi-level density of states   4.777 states/eV/f.u.


[16]
VASP calculation (GGA-PBE) on a relaxed ZnFeAsBr2 crystal.

Unit cell a=5.0642 b=5.0642 c=4.4809 alpha=90.00 beta=90.00 gamma=90.00
Closest atoms and distances in Å follow each position.
Space group P4/mmm (No. 123)
One atom of each set of equivalent atoms:
Zn1 0.0000 0.0000 0.0000 [1 per cell]  8 Br 3.38, 4 As 3.58
Fe1 0.5000 0.5000 0.5000 [1 per cell]  2 As 2.24
As1 0.5000 0.5000 0.0000 [1 per cell]  2 Fe 2.24
Br1 0.0000 0.5000 0.5000 [2 per cell]  2 Fe 2.53

Results
E above lowest polymorph   0.0 meV/atom
Energy relative to the elements, uncorrected   0.3260 eV/atom
Fermi-level density of states   7.319 states/eV/f.u.


[17]
VASP calculation (GGA-PBE) on a relaxed ZnFeAsBr2 crystal.

Unit cell a=4.6317 b=4.6317 c=5.1661 alpha=90.00 beta=90.00 gamma=90.00
Closest atoms and distances in Å follow each position.
Space group P4/mmm (No. 123)
One atom of each set of equivalent atoms:
Zn1 0.0000 0.0000 0.0000 [1 per cell]  2 Fe 2.58
Fe1 0.0000 0.0000 0.5000 [1 per cell]  4 Br 2.32, 2 Zn 2.58
As1 0.5000 0.5000 0.0000 [1 per cell]  4 Zn 3.28, 8 Br 3.47
Br1 0.0000 0.5000 0.5000 [2 per cell]  2 Fe 2.32

Results
E above lowest polymorph   372.2 meV/atom
Energy relative to the elements, uncorrected   0.6982 eV/atom
Fermi-level density of states   8.135 states/eV/f.u.


[18]
VASP calculation (GGA-PBE) on a relaxed ZnFeAsBr2 crystal.

Unit cell a=5.0722 b=5.0722 c=5.0399 alpha=90.00 beta=90.00 gamma=90.00
Closest atoms and distances in Å follow each position.
Space group P4/mmm (No. 123)
One atom of each set of equivalent atoms:
Zn1 0.0000 0.0000 0.0000 [1 per cell]  2 As 2.52, 4 Br 2.54
Fe1 0.5000 0.5000 0.5000 [1 per cell]  8 Br 3.58, 4 As 3.59
As1 0.0000 0.0000 0.5000 [1 per cell]  2 Zn 2.52
Br1 0.0000 0.5000 0.0000 [2 per cell]  2 Zn 2.54

Results
E above lowest polymorph   346.4 meV/atom
Energy relative to the elements, uncorrected   0.6724 eV/atom
Fermi-level density of states   5.293 states/eV/f.u.


[19]
VASP calculation (GGA-PBE) on a relaxed ZrFeAs2Br crystal.

Unit cell a=5.2169 b=5.2169 c=5.2526 alpha=90.00 beta=90.00 gamma=90.00
Closest atoms and distances in Å follow each position.
Space group P4/mmm (No. 123)
One atom of each set of equivalent atoms:
Zr1 0.0000 0.0000 0.0000 [1 per cell]  4 As 2.61, 2 Br 2.63
Fe1 0.5000 0.5000 0.5000 [1 per cell]  4 Br 3.69, 8 As 3.70
As1 0.0000 0.5000 0.0000 [2 per cell]  2 Zr 2.61
Br1 0.0000 0.0000 0.5000 [1 per cell]  2 Zr 2.63

Results
E above lowest polymorph   211.1 meV/atom
Energy relative to the elements, uncorrected   0.5086 eV/atom
Fermi-level density of states   7.933 states/eV/f.u.


[20]
VASP calculation (GGA-PBE) on a relaxed ZrFeAs2Br crystal.

Unit cell a=4.5744 b=4.5744 c=4.8973 alpha=90.00 beta=90.00 gamma=90.00
Closest atoms and distances in Å follow each position.
Space group P4/mmm (No. 123)
One atom of each set of equivalent atoms:
Zr1 0.0000 0.0000 0.0000 [1 per cell]  4 Br 3.23, 8 As 3.35
Fe1 0.5000 0.5000 0.5000 [1 per cell]  4 As 2.29, 2 Br 2.45
As1 0.0000 0.5000 0.5000 [2 per cell]  2 Fe 2.29
Br1 0.5000 0.5000 0.0000 [1 per cell]  2 Fe 2.45

Results
E above lowest polymorph   0.0 meV/atom
Energy relative to the elements, uncorrected   0.2976 eV/atom
Fermi-level density of states   5.154 states/eV/f.u.